Entry from the Alexandria database: LuCrO2 after structural relaxation (PBE+U).

Total energy in eV per formula unit: -32.0
Total moment in μB/f.u.: 4.2
Calculated density in g/cm³: 7.01

abc: 3.4031 3.4031 18.3485
angles: 90.00 90.00 120.00
Space group R-3m (No. 166, hexagonal axes)
Asymmetric unit:
Lu  0.0000  0.0000  0.0000 [3 per cell]
Cr  0.0000  0.0000  0.5000 [3 per cell]
O  0.0000  0.0000  0.3909 [6 per cell]